Entry 1:
# PtPb2Br | Alexandria via LeMat-Bulk | PBE | relaxed
data_PtPb2Br
_chemical_formula_sum 'Pt2 Pb4 Br2'
_space_group_name_H-M_alt 'I -4 m 2'
_space_group_IT_number 119
_space_group_name_Hall 'I -4 -2'
_cell_length_a 4.2417
_cell_length_b 4.2417
_cell_length_c 11.8892
_cell_angle_alpha 90.00
_cell_angle_beta 90.00
_cell_angle_gamma 90.00
loop_
_atom_site_label
_atom_site_fract_x
_atom_site_fract_y
_atom_site_fract_z
Pt1 0.0000 0.0000 0.0000
Pb1 0.0000 0.0000 0.5000
Pb2 0.0000 0.5000 0.2500
Br1 0.0000 0.5000 0.7500
# formation energy without anion corrections	0.06	eV per atom
# DOS at the Fermi energy	0.90	states/eV per atom
# energy relative to the lowest polymorph listed for this composition	0.448	eV per atom
# spin magnetization	0.000	μB/atom
# V	26.74	A^3/atom
# DFT total energy	-3.7182	eV/atom

Entry 2:
# La5Mg | Alexandria via LeMat-Bulk | PBE | relaxed
data_La5Mg
_chemical_formula_sum 'La15 Mg3'
_space_group_name_H-M_alt 'R 3 2'
_space_group_IT_number 155
_space_group_name_Hall 'R 3 2"'
_cell_length_a 6.4166
_cell_length_b 6.4166
_cell_length_c 17.5329
_cell_angle_alpha 90.00
_cell_angle_beta 90.00
_cell_angle_gamma 120.00
loop_
_atom_site_label
_atom_site_fract_x
_atom_site_fract_y
_atom_site_fract_z
La1 0.0000 0.0000 0.1572
La2 0.0000 0.6264 0.0000
Mg1 0.0000 0.0000 0.5000
# DOS at the Fermi energy	1.32	states/eV per atom
# energy relative to the lowest polymorph listed for this composition	0.021	eV per atom
# energy of formation	-0.01	eV per atom
# spin magnetization	0.000	μB/atom
# V	34.73	A^3/atom
# DFT total energy	-4.3827	eV/atom

Entry 3:
# SbOs2 | Alexandria via LeMat-Bulk | PBE | relaxed
data_SbOs2
_chemical_formula_sum 'Sb4 Os8'
_space_group_name_H-M_alt 'C 1 2/m 1'
_space_group_IT_number 12
_cell_length_a 10.7458
_cell_length_b 2.9738
_cell_length_c 6.6145
_cell_angle_alpha 90.00
_cell_angle_beta 109.38
_cell_angle_gamma 90.00
loop_
_space_group_symop_operation_xyz
'x,y,z'
'-x,-y,-z'
'-x,y,-z'
'x,-y,z'
'x+1/2,y+1/2,z'
'-x+1/2,-y+1/2,-z'
'-x+1/2,y+1/2,-z'
'x+1/2,-y+1/2,z'
loop_
_atom_site_label
_atom_site_fract_x
_atom_site_fract_y
_atom_site_fract_z
Sb1 0.1830 0.0000 0.1552
Os1 0.0555 0.5000 0.8022
Os2 0.1281 0.0000 0.5104
# formation energy without anion corrections	0.55	eV per atom
# DOS at the Fermi energy	0.82	states/eV per atom
# spin magnetization	0.000	μB/atom
# V	16.62	A^3/atom
# DFT total energy	-8.3147	eV/atom

Entry 4:
# Ac2CdCo | Alexandria via LeMat-Bulk | PBE | relaxed
data_Ac2CdCo
_chemical_formula_sum 'Ac2 Cd1 Co1'
_space_group_name_H-M_alt 'P 4/m m m'
_space_group_IT_number 123
_space_group_name_Hall '-P 4 2'
_cell_length_a 3.7533
_cell_length_b 3.7533
_cell_length_c 8.3033
_cell_angle_alpha 90.00
_cell_angle_beta 90.00
_cell_angle_gamma 90.00
loop_
_atom_site_label
_atom_site_fract_x
_atom_site_fract_y
_atom_site_fract_z
Ac1 0.0000 0.0000 0.2161
Cd1 0.5000 0.5000 0.5000
Co1 0.5000 0.5000 0.0000
# DOS at the Fermi energy	0.87	states/eV per atom
# energy relative to the lowest polymorph listed for this composition	0.070	eV per atom
# energy of formation	-0.04	eV per atom
# spin magnetization	0.211	μB/atom
# V	29.24	A^3/atom
# DFT total energy	-4.0991	eV/atom

Entry 5:
# Zr3CdC | Alexandria via LeMat-Bulk | PBE | relaxed
data_Zr3CdC
_chemical_formula_sum 'Zr18 Cd6 C6'
_space_group_name_H-M_alt 'R -3 c'
_space_group_IT_number 167
_space_group_name_Hall '-R 3 2"c'
_cell_length_a 8.3283
_cell_length_b 8.3283
_cell_length_c 9.8986
_cell_angle_alpha 90.00
_cell_angle_beta 90.00
_cell_angle_gamma 120.00
loop_
_atom_site_label
_atom_site_fract_x
_atom_site_fract_y
_atom_site_fract_z
Zr1 0.0000 0.2555 0.2500
Cd1 0.0000 0.0000 0.0000
C1 0.0000 0.0000 0.2500
# DOS at the Fermi energy	0.58	states/eV per atom
# energy relative to the lowest polymorph listed for this composition	0.532	eV per atom
# energy of formation	0.10	eV per atom
# spin magnetization	0.000	μB/atom
# V	19.82	A^3/atom
# DFT total energy	-7.0536	eV/atom